Here is AgSb2Se3 after structural relaxation from Alexandria. Energies are from PBE-GGA.

Unit cell a=7.8475 b=7.8475 c=6.0427 alpha=90.00 beta=90.00 gamma=77.80
With the nearest neighbours (Å) after each atom.
Fractional positions:
Ag (0.1508, 0.8492, 0.7500)  5 Se 2.73-3.03
Ag (0.8492, 0.1508, 0.2500)  5 Se 2.73-3.03
Sb (0.1727, 0.5209, 0.2500)  2 Se 2.62-2.71
Sb (0.4791, 0.8273, 0.2500)  2 Se 2.62-2.71
Sb (0.5209, 0.1727, 0.7500)  2 Se 2.62-2.71
Sb (0.8273, 0.4791, 0.7500)  2 Se 2.62-2.71
Se (0.1277, 0.8723, 0.2500)  2 Sb 2.71, 1 Ag 2.74
Se (0.1553, 0.5010, 0.7500)  1 Sb 2.62, 1 Ag 2.73
Se (0.4990, 0.8447, 0.7500)  1 Sb 2.62, 1 Ag 2.73
Se (0.5010, 0.1553, 0.2500)  1 Sb 2.62, 1 Ag 2.73
Se (0.8447, 0.4990, 0.2500)  1 Sb 2.62, 1 Ag 2.73
Se (0.8723, 0.1277, 0.7500)  2 Sb 2.71, 1 Ag 2.74

Computed properties:
Energy relative to the elements, uncorrected ... -0.6 eV per formula unit
Energy above the lowest structure with this stoichiometry ... 34 meV/atom
Density of states at the Fermi level ... 2.43 states/eV/cell
Space group ... Cmcm (63)